# GaSiHgOsRh

A relaxed GaSiHgOsRh crystal (PBE, Alexandria via LeMat-Bulk).

Cell: 2.8729 5.5026 5.9535 Å, 67.89 76.05 89.99°
Element x y z (fractional)
Ga 0.0000 0.0000 0.0000
Si 0.9951 0.5002 0.0098
Hg 0.7475 0.9905 0.5115
Os 0.6317 0.3909 0.7360
Rh 0.3564 0.6150 0.2879

Computed properties:
* E_form (uncorrected): -0.018 eV/atom
* total moment: 0.000 μB per cell
* distance to the lowest polymorph of the same formula: 4.947 kcal/mol of atoms
* calculated density: 11.67 g/cm³
* volume: 16.84 Å³ per atom
* symmetry: No. 1